# 1
VHgS PBE-GGA optimized geometry; volume = 54.14 Å³/cell; formation energy (no corrections) = -1.03 eV per formula unit; excess energy over the best structure of this formula in the dataset = 94 meV/atom; total moment = 0.00 μB per cell; D(E_F) = 2.56 states/eV per cell; SG = P3m1, No. 156
1.0
-2.719 1.418 0.635
0.463 -1.315 -2.805
-2.358 -5.501 2.189
S V Hg
1 1 1
Direct
0.333 0.667 0.448
0.667 0.333 0.668
0.333 0.667 0.020


# 2
VHgS3 PBE-GGA optimized geometry; volume = 99.26 Å³/cell; formation energy (no corrections) = -0.49 eV per formula unit; excess energy over the best structure of this formula in the dataset = 0 meV/atom; total moment = 0.00 μB per cell; D(E_F) = 3.74 states/eV per cell; SG = Pm-3m, No. 221
1.0
4.630 0.000 0.000
0.000 4.630 0.000
0.000 0.000 4.630
V S Hg
1 3 1
Direct
0.000 0.000 0.000
0.000 0.500 0.000
0.000 0.000 0.500
0.500 0.000 0.000
0.500 0.500 0.500


# 3
VHg3S PBE-GGA optimized geometry; volume = 153.66 Å³/cell; formation energy (no corrections) = 4.12 eV per formula unit; excess energy over the best structure of this formula in the dataset = 0 meV/atom; total moment = 4.71 μB per cell; D(E_F) = 10.92 states/eV per cell; SG = Pm-3m, No. 221
1.0
-5.211 0.260 1.212
-1.128 -3.161 -4.174
0.513 -4.316 3.130
Hg V S
3 1 1
Direct
0.000 0.500 0.000
0.500 0.000 0.000
0.000 0.000 0.500
0.000 0.000 0.000
0.500 0.500 0.500


# 4
VHgS PBE-GGA optimized geometry; volume = 116.12 Å³/cell; formation energy (no corrections) = -1.31 eV per formula unit; excess energy over the best structure of this formula in the dataset = 0 meV/atom; total moment = 0.72 μB per cell; D(E_F) = 4.43 states/eV per cell; SG = P1, No. 1
1.0
3.121 0.000 -0.001
1.560 4.023 0.008
0.007 0.650 9.250
Hg S V
2 2 2
Direct
0.031 0.808 0.490
0.785 0.307 0.720
0.274 0.323 0.220
0.534 0.803 0.977
0.835 0.201 0.038
0.558 0.755 0.227


# 5
VHgS PBE-GGA optimized geometry; volume = 56.54 Å³/cell; formation energy (no corrections) = -0.85 eV per formula unit; excess energy over the best structure of this formula in the dataset = 153 meV/atom; total moment = 2.02 μB per cell; D(E_F) = 2.48 states/eV per cell; SG = P4mm, No. 99
1.0
3.072 0.000 0.000
0.000 3.072 0.000
0.000 0.000 5.992
Hg V S
1 1 1
Direct
0.000 0.000 0.993
0.500 0.500 0.347
0.000 0.000 0.524


# 6
HgWS2 PBE-GGA optimized geometry; volume = 88.83 Å³/cell; formation energy (no corrections) = -1.52 eV per formula unit; total moment = 0.00 μB per cell; D(E_F) = 1.75 states/eV per cell; SG = C2/m, No. 12
1.0
3.218 0.000 0.000
-1.609 2.787 0.003
0.000 0.003 9.906
S W Hg
2 1 1
Direct
0.333 0.666 0.659
0.667 0.334 0.341
0.000 0.000 0.500
0.000 0.000 0.000


# 7
HgWS2 PBE-GGA optimized geometry; volume = 84.70 Å³/cell; formation energy (no corrections) = 2.74 eV per formula unit; total moment = 0.00 μB per cell; D(E_F) = 0.96 states/eV per cell; SG = R-3m, No. 166
1.0
2.001 0.000 8.145
-1.000 1.733 8.145
-1.000 -1.733 8.145
S W Hg
2 1 1
Direct
0.909 0.909 0.909
0.091 0.091 0.091
0.000 0.000 0.000
0.500 0.500 0.500


# 8
Hg3WS PBE-GGA optimized geometry; volume = 139.82 Å³/cell; formation energy (no corrections) = 7.52 eV per formula unit; excess energy over the best structure of this formula in the dataset = 193 meV/atom; total moment = 4.57 μB per cell; D(E_F) = 2.70 states/eV per cell; SG = Pm-3m, No. 221
1.0
-0.988 -2.015 -4.680
4.788 -1.997 -0.151
-1.743 -4.346 2.239
Hg S W
3 1 1
Direct
0.000 0.500 0.000
0.500 0.000 0.000
0.000 0.000 0.500
0.000 0.000 0.000
0.500 0.500 0.500


# 9
HgWS2 PBE-GGA optimized geometry; volume = 90.39 Å³/cell; formation energy (no corrections) = -1.52 eV per formula unit; total moment = 0.00 μB per cell; D(E_F) = 1.21 states/eV per cell; SG = R-3m, No. 166
1.0
-4.502 9.184 0.533
-2.053 9.703 2.557
-1.633 10.092 -0.611
Hg S W
1 2 1
Direct
0.000 0.000 0.000
0.114 0.114 0.114
0.886 0.886 0.886
0.500 0.500 0.500


# 10
HgWS2 PBE-GGA optimized geometry; volume = 271.32 Å³/cell; formation energy (no corrections) = -0.05 eV per formula unit; total moment = 0.00 μB per cell; D(E_F) = 4.83 states/eV per cell; SG = I-42d, No. 122
1.0
-6.931 -2.068 -0.595
1.774 -6.627 2.367
-3.443 -2.846 5.738
S W Hg
4 2 2
Direct
0.875 0.632 0.750
0.375 0.618 0.750
0.382 0.125 0.250
0.368 0.625 0.250
0.500 0.500 0.000
0.250 0.750 0.500
0.750 0.250 0.500
0.000 0.000 0.000


# 11
HgW2S PBE-GGA optimized geometry; volume = 64.55 Å³/cell; formation energy (no corrections) = 3.79 eV per formula unit; total moment = 0.00 μB per cell; D(E_F) = 2.20 states/eV per cell; SG = Fm-3m, No. 225
1.0
0.000 3.184 3.184
3.184 0.000 3.184
3.184 3.184 0.000
Hg W S
1 2 1
Direct
0.500 0.500 0.500
0.750 0.750 0.750
0.250 0.250 0.250
0.000 0.000 0.000


# 12
Hg3WS PBE-GGA optimized geometry; volume = 154.96 Å³/cell; formation energy (no corrections) = 6.56 eV per formula unit; excess energy over the best structure of this formula in the dataset = 0 meV/atom; total moment = 3.21 μB per cell; D(E_F) = 5.33 states/eV per cell; SG = Pm-3m, No. 221
1.0
-3.507 3.668 -1.760
-3.748 -3.816 -0.483
-1.581 0.913 5.052
S Hg W
1 3 1
Direct
0.500 0.500 0.500
0.000 0.500 0.000
0.500 0.000 0.000
0.000 0.000 0.500
0.000 0.000 0.000


# 13
HgW3S PBE-GGA optimized geometry; volume = 88.50 Å³/cell; formation energy (no corrections) = 4.82 eV per formula unit; excess energy over the best structure of this formula in the dataset = 0 meV/atom; total moment = 0.00 μB per cell; D(E_F) = 2.76 states/eV per cell; SG = Pm-3m, No. 221
1.0
-0.893 1.268 4.178
0.492 -4.208 1.382
4.338 0.738 0.703
W Hg S
3 1 1
Direct
0.000 0.500 0.000
0.000 0.000 0.500
0.500 0.000 0.000
0.500 0.500 0.500
0.000 0.000 0.000


# 14
ZnHgWS2 PBE-GGA optimized geometry; volume = 114.79 Å³/cell; formation energy (no corrections) = 0.46 eV per formula unit; total moment = 0.00 μB per cell; D(E_F) = 2.29 states/eV per cell; SG = P4/mmm, No. 123
1.0
-1.941 3.650 -2.033
0.245 -2.530 -4.775
-4.173 -1.806 0.742
Zn S Hg W
1 2 1 1
Direct
0.000 0.500 0.000
0.000 0.000 0.500
0.500 0.000 0.000
0.500 0.500 0.500
0.000 0.000 0.000


# 15
ZrHg2WS PBE-GGA optimized geometry; volume = 112.23 Å³/cell; formation energy (no corrections) = 4.73 eV per formula unit; total moment = 0.00 μB per cell; D(E_F) = 3.24 states/eV per cell; SG = P4/mmm, No. 123
1.0
-3.043 -4.001 -0.375
-0.044 -0.379 4.400
-4.019 3.036 0.221
Zr Hg W S
1 2 1 1
Direct
0.500 0.500 0.500
0.500 0.000 0.000
0.000 0.000 0.500
0.000 0.500 0.000
0.000 0.000 0.000


# 16
YHg2S4 PBE-GGA optimized geometry; volume = 186.89 Å³/cell; formation energy (no corrections) = -2.24 eV per formula unit; total moment = 1.40 μB per cell; D(E_F) = 4.36 states/eV per cell; SG = I4/mmm, No. 139
1.0
-1.724 -3.468 -3.700
3.276 -3.745 1.984
-3.933 -5.582 3.187
S Hg Y
4 2 1
Direct
0.208 0.208 0.583
0.500 0.000 0.000
0.792 0.792 0.417
0.000 0.500 0.000
0.392 0.392 0.217
0.608 0.608 0.783
0.000 0.000 0.000


# 17
Y2HgS PBE-GGA optimized geometry; volume = 99.18 Å³/cell; formation energy (no corrections) = -4.70 eV per formula unit; excess energy over the best structure of this formula in the dataset = 57 meV/atom; total moment = 0.00 μB per cell; D(E_F) = 3.32 states/eV per cell; SG = R3m, No. 160
1.0
-3.659 0.390 1.063
-0.929 -0.036 3.716
-0.616 7.864 1.896
Hg S Y
1 1 2
Direct
0.500 0.500 0.501
0.668 0.668 0.996
0.263 0.263 0.210
0.069 0.069 0.793


# 18
Y3Hg5S12 PBE-GGA optimized geometry; volume = 1944.02 Å³/cell; formation energy (no corrections) = -11.55 eV per formula unit; total moment = 0.00 μB per cell; D(E_F) = 37.95 states/eV per cell; SG = Ia-3d, No. 230
1.0
-12.182 -5.140 3.258
2.027 -1.275 -13.406
9.724 -6.758 6.724
S Hg Y
48 20 12
Direct
0.056 0.415 0.829
0.227 0.556 0.641
0.641 0.056 0.227
0.171 0.085 0.944
0.773 0.329 0.915
0.415 0.273 0.329
0.273 0.415 0.829
0.415 0.359 0.585
0.444 0.773 0.859
0.556 0.329 0.915
0.141 0.727 0.556
0.915 0.829 0.773
0.056 0.641 0.727
0.585 0.641 0.415
0.915 0.829 0.556
0.944 0.359 0.273
0.829 0.915 0.273
0.641 0.585 0.915
0.415 0.056 0.329
0.085 0.915 0.359
0.415 0.141 0.585
0.585 0.727 0.671
0.585 0.944 0.671
0.585 0.859 0.415
0.141 0.415 0.085
0.859 0.273 0.444
0.329 0.556 0.415
0.444 0.671 0.085
0.085 0.915 0.141
0.556 0.227 0.141
0.359 0.944 0.773
0.671 0.444 0.585
0.727 0.141 0.056
0.359 0.415 0.085
0.329 0.773 0.415
0.727 0.585 0.171
0.671 0.227 0.585
0.773 0.444 0.359
0.915 0.085 0.859
0.227 0.671 0.085
0.273 0.859 0.944
0.085 0.171 0.444
0.829 0.915 0.056
0.915 0.085 0.641
0.859 0.585 0.915
0.171 0.085 0.727
0.944 0.585 0.171
0.085 0.171 0.227
0.000 0.500 0.000
0.625 0.750 0.875
0.625 0.875 0.250
0.375 0.250 0.125
0.375 0.125 0.750
0.250 0.375 0.625
0.500 0.500 0.500
0.875 0.250 0.625
0.000 0.000 0.000
0.500 0.000 0.500
0.875 0.625 0.750
0.750 0.125 0.875
0.125 0.750 0.375
0.125 0.375 0.250
0.750 0.625 0.375
0.500 0.000 0.000
0.000 0.000 0.500
0.000 0.500 0.500
0.500 0.500 0.000
0.250 0.875 0.125
0.375 0.750 0.625
0.875 0.750 0.125
0.375 0.625 0.250
0.250 0.625 0.875
0.750 0.875 0.625
0.875 0.125 0.250
0.625 0.250 0.375
0.125 0.250 0.875
0.750 0.375 0.125
0.625 0.375 0.750
0.125 0.875 0.750
0.250 0.125 0.375


# 19
Y7HgS5 PBE-GGA optimized geometry; volume = 603.34 Å³/cell; formation energy (no corrections) = -21.49 eV per formula unit; total moment = 0.00 μB per cell; D(E_F) = 11.61 states/eV per cell; SG = P2_1/m, No. 11
1.0
-3.630 0.876 1.269
-0.630 -5.094 -4.447
2.364 -15.575 17.512
S Y Hg
10 14 2
Direct
0.456 0.913 0.640
0.273 0.547 0.430
0.727 0.455 0.570
0.727 0.454 0.930
0.456 0.913 0.860
0.000 0.001 0.500
0.544 0.088 0.360
0.544 0.089 0.140
0.000 0.001 0.000
0.273 0.547 0.070
0.092 0.184 0.608
0.823 0.646 0.673
0.364 0.728 0.536
0.523 0.047 0.750
0.908 0.817 0.392
0.637 0.273 0.036
0.178 0.355 0.173
0.178 0.355 0.327
0.477 0.954 0.250
0.823 0.646 0.827
0.364 0.728 0.964
0.092 0.184 0.892
0.908 0.817 0.108
0.637 0.273 0.464
0.797 0.593 0.250
0.204 0.408 0.750


# 20
Y4HgS3 PBE-GGA optimized geometry; volume = 184.37 Å³/cell; formation energy (no corrections) = -12.51 eV per formula unit; total moment = 0.00 μB per cell; D(E_F) = 3.30 states/eV per cell; SG = Cmmm, No. 65
1.0
3.942 0.000 0.000
0.000 6.662 -2.234
0.000 -0.020 7.026
Y Hg S
4 1 3
Direct
0.500 0.744 0.256
0.000 0.266 0.266
0.500 0.256 0.744
0.000 0.734 0.734
0.500 0.000 0.000
0.000 0.500 0.000
0.500 0.500 0.500
0.000 0.000 0.500


# 21
Y3HgS2 PBE-GGA optimized geometry; volume = 293.58 Å³/cell; formation energy (no corrections) = -7.55 eV per formula unit; total moment = 0.00 μB per cell; D(E_F) = 6.82 states/eV per cell; SG = Cmcm, No. 63
1.0
4.671 0.000 0.000
-2.335 6.329 0.000
0.000 0.000 9.931
Y Hg S
6 2 4
Direct
0.364 0.728 0.946
0.104 0.208 0.750
0.636 0.272 0.446
0.896 0.792 0.250
0.636 0.272 0.054
0.364 0.728 0.554
0.770 0.539 0.750
0.230 0.461 0.250
0.000 0.000 0.000
0.487 0.974 0.250
0.513 0.026 0.750
0.000 0.000 0.500


# 22
Y2HgS PBE-GGA optimized geometry; volume = 94.62 Å³/cell; formation energy (no corrections) = -2.85 eV per formula unit; excess energy over the best structure of this formula in the dataset = 521 meV/atom; total moment = 0.00 μB per cell; D(E_F) = 4.40 states/eV per cell; SG = Fm-3m, No. 225
1.0
0.000 3.617 3.617
3.617 0.000 3.617
3.617 3.617 0.000
Y Hg S
2 1 1
Direct
0.750 0.750 0.750
0.250 0.250 0.250
0.500 0.500 0.500
0.000 0.000 0.000


# 23
Y2HgS PBE-GGA optimized geometry; volume = 98.69 Å³/cell; formation energy (no corrections) = -4.93 eV per formula unit; excess energy over the best structure of this formula in the dataset = 0 meV/atom; total moment = 0.00 μB per cell; D(E_F) = 2.20 states/eV per cell; SG = R-3m, No. 166
1.0
-2.087 -2.158 2.454
0.209 -0.980 -3.748
6.655 -2.880 3.127
Hg S Y
1 1 2
Direct
0.500 0.500 0.000
0.000 0.500 0.500
0.263 0.025 0.287
0.737 0.975 0.713